TaFe2 (PBEsol, optimized geometry); space-group type = P6/mmm, No. 191; formation energy = 0.10 eV/atom; calculated total energy = -30.17 eV/cell; Fermi-level density of states = 3.189 states/eV/f.u.; M_tot = 0.0 μB per cell
1.0
2.8788 0.0000 0.0000
0.0000 3.9089 0.0000
0.0000 -1.9544 3.3852
Fe Ta
2 1
Direct
0.5000 0.6667 0.3333
0.5000 0.3333 0.6667
0.0000 0.0000 0.0000